Entry 1:
Material: TlCu3Cl
Method: DFT, PBE
State: relaxed

Properties
Magnetic moment ... 0.000 μB per formula unit
Energy above the lowest structure with this stoichiometry ... 250 meV per atom

Cell and atoms, written as CIF:
```
data_TlCu3Cl
_chemical_formula_sum 'Tl1 Cu3 Cl1'
_space_group_name_H-M_alt 'P m -3 m'
_space_group_IT_number 221
_space_group_name_Hall '-P 4 2 3'
_cell_length_a 5.000
_cell_length_b 5.000
_cell_length_c 5.000
_cell_angle_alpha 90.00
_cell_angle_beta 90.00
_cell_angle_gamma 90.00
loop_
_atom_site_label
_atom_site_type_symbol
_atom_site_fract_x
_atom_site_fract_y
_atom_site_fract_z
_atom_site_occupancy
Tl1 Tl 0.000 0.000 0.000 1
Cu1 Cu 0.000 0.000 0.500 1
Cl1 Cl 0.500 0.500 0.500 1
```

---

Entry 2:
Material: La3HoGe2
Method: DFT, PBE
State: relaxed

Properties
Magnetic moment ... 0.552 μB per formula unit
Formation energy from the elements ... -620 meV/atom

Cell and atoms, written as CIF:
```
data_La3HoGe2
_chemical_formula_sum 'La6 Ho2 Ge4'
_space_group_name_H-M_alt 'I m m m'
_space_group_IT_number 71
_space_group_name_Hall '-I 2 2'
_cell_length_a 4.494
_cell_length_b 4.695
_cell_length_c 16.724
_cell_angle_alpha 90.00
_cell_angle_beta 90.00
_cell_angle_gamma 90.00
loop_
_atom_site_label
_atom_site_type_symbol
_atom_site_fract_x
_atom_site_fract_y
_atom_site_fract_z
_atom_site_occupancy
La1 La 0.000 0.000 0.000 1
La2 La 0.000 0.500 0.318 1
Ho1 Ho 0.000 0.000 0.500 1
Ge1 Ge 0.000 0.500 0.131 1
```